Record 1
BIrC2 | PBE-GGA | relaxed

extended XYZ file:
```
8
Lattice="4.010 0.000 -0.028 0.000 2.781 0.000 -1.654 0.000 7.050" Properties=species:S:1:pos:R:3 pbc="T T T"
C -1.335 0.000 6.690
C -0.508 1.390 3.165
C 3.454 1.390 1.693
C 2.627 0.000 5.218
Ir 1.521 1.390 4.161
Ir 2.348 0.000 0.636
B -0.434 0.000 3.981
B 0.393 1.390 0.456
```

ΔE_f ... 0.529 eV/atom
Calculated total energy ... -7.967 eV/atom
N(E_F) ... 2.17 states/eV per cell

Record 2
BIrC3 | PBE-GGA | relaxed

extended XYZ file:
```
5
Lattice="-0.434 1.311 3.723 -3.755 -1.292 0.017 1.217 -3.519 1.381" Properties=species:S:1:pos:R:3 pbc="T T T"
C -1.878 -0.646 0.009
C 0.608 -1.759 0.690
C -0.217 0.655 1.862
B -1.486 -1.750 2.561
Ir 0.000 0.000 0.000
```

ΔE_f ... 2.898 eV/atom
Calculated total energy ... -5.744 eV/atom
N(E_F) ... 1.26 states/eV per cell
E above lowest polymorph ... 0.4933 eV/atom

Record 3
BIrC2 | PBE-GGA | relaxed

extended XYZ file:
```
12
Lattice="2.830 0.000 0.000 -1.415 2.451 0.000 0.000 0.000 15.242" Properties=species:S:1:pos:R:3 pbc="T T T"
C 0.000 0.000 8.255
C 0.000 1.634 3.175
C 0.000 0.000 9.745
C 0.000 1.634 4.664
C 1.415 0.817 13.336
C 1.415 0.817 14.825
B 0.000 1.634 15.186
B 0.000 0.000 5.025
B 1.415 0.817 10.105
Ir 0.000 0.000 12.096
Ir 1.415 0.817 1.935
Ir 0.000 1.634 7.015
```

ΔE_f ... 0.526 eV/atom
Calculated total energy ... -7.971 eV/atom
N(E_F) ... 4.16 states/eV per cell

Record 4
BIrC2 | PBE-GGA | relaxed

extended XYZ file:
```
8
Lattice="4.295 0.000 0.000 0.000 4.295 0.000 2.147 2.147 4.115" Properties=species:S:1:pos:R:3 pbc="T T T"
C 3.221 3.501 3.086
C 5.369 5.089 3.086
C 1.354 3.221 1.029
C 2.941 1.074 1.029
Ir 4.295 2.147 2.057
Ir 0.000 0.000 0.000
B 2.147 2.147 0.000
B 2.147 4.295 2.057
```

ΔE_f ... 0.663 eV/atom
Calculated total energy ... -7.834 eV/atom
N(E_F) ... 0.39 states/eV per cell

Record 5
BIrC2 | PBE-GGA | relaxed

extended XYZ file:
```
8
Lattice="5.609 0.000 0.005 0.000 2.805 0.000 -1.354 0.000 4.649" Properties=species:S:1:pos:R:3 pbc="T T T"
B 4.995 0.000 1.362
B 4.318 1.402 3.686
C 3.418 0.000 0.875
C 2.741 1.402 3.200
C -0.729 0.000 3.000
C -0.052 1.402 0.675
Ir 2.011 1.402 1.300
Ir 1.334 0.000 3.624
```

ΔE_f ... 0.617 eV/atom
Calculated total energy ... -7.880 eV/atom
N(E_F) ... 3.18 states/eV per cell

Record 6
BIrC2 | PBE-GGA | relaxed

extended XYZ file:
```
4
Lattice="-2.565 0.447 -2.618 0.574 -3.271 -1.770 -3.161 -2.944 0.546" Properties=species:S:1:pos:R:3 pbc="T T T"
B -2.430 -2.979 -3.213
C -1.160 -2.073 -0.964
C 0.147 -2.152 -1.427
Ir -1.580 -3.985 -1.687
```

ΔE_f ... 0.858 eV/atom
Calculated total energy ... -7.639 eV/atom
N(E_F) ... 0.72 states/eV per cell